1.
BaMg3In (PBE, optimized geometry); crystal system = cubic; SG = Pm-3m (221)
1.0
-1.608 -1.444 -6.088
6.156 -1.488 -1.274
-1.117 -6.118 1.747
Mg Ba In
3 1 1
direct
0.000 0.500 0.000
0.000 0.000 0.500
0.500 0.000 0.000
0.000 0.000 0.000
0.500 0.500 0.500

2.
Ba5MgIn2 (PBE, optimized geometry); crystal system = tetragonal; SG = I4/mcm (140)
1.0
-5.528 -7.923 -0.813
7.630 -5.552 2.226
-2.946 7.260 7.093
Ba Mg In
10 2 4
direct
0.526 0.693 0.720
0.807 0.974 0.280
0.000 0.000 0.000
0.500 0.500 0.000
0.193 0.026 0.720
0.693 0.193 0.720
0.026 0.526 0.720
0.307 0.807 0.280
0.974 0.474 0.280
0.474 0.307 0.280
0.750 0.750 0.500
0.250 0.250 0.500
0.121 0.379 0.000
0.621 0.121 0.000
0.379 0.879 0.000
0.879 0.621 0.000

3.
Ba4MgIn2 (PBE, optimized geometry); crystal system = trigonal; SG = R-3m (166)
1.0
5.768 0.000 1.802
2.602 5.147 1.802
-0.095 -0.058 10.436
Ba Mg In
4 1 2
direct
0.874 0.874 0.379
0.126 0.126 0.621
0.623 0.623 0.132
0.377 0.377 0.868
0.000 0.000 0.000
0.747 0.747 0.759
0.253 0.253 0.241

Total energy (computed, eV/cell): -4.431; -36.742; -16.423
ΔE_f (computed, eV/atom): 1.00; -0.21; -0.24
Calculated density (computed, Mg/m³): 2.002; 4.131; 4.288